[1]
{
  "formula": "Ca2MgTe",
  "functional": "PBE-GGA",
  "state": "relaxed",
  "lattice": [[7.303, 0.000, 0.000], [0.000, 4.205, 0.000], [-2.415, 0.000, 9.155]],
  "species": ["Ca", "Ca", "Ca", "Ca", "Mg", "Mg", "Te", "Te"],
  "frac_coords": [[0.238, 0.000, 0.214], [0.262, 0.500, 0.786], [0.738, 0.500, 0.214], [0.762, 0.000, 0.786], [0.000, 0.000, 0.500], [0.500, 0.500, 0.500], [0.000, 0.500, 0.000], [0.500, 0.000, 0.000]],
  "space_group": "C2/m (12)",
  "relative_energy_mev_per_atom": 66,
  "m_tot_mub_per_atom": 0.045,
  "raw_formation_energy_mev_per_atom": -646,
  "energy_ev_per_atom": -2.831,
  "density_g_cm3": 2.74
}

[2]
{
  "formula": "MnFeAg2",
  "functional": "PBE-GGA",
  "state": "relaxed",
  "lattice": [[3.947, 0.000, 0.000], [0.000, 3.947, 0.000], [0.000, 0.000, 8.078]],
  "species": ["Mn", "Mn", "Fe", "Fe", "Ag", "Ag", "Ag", "Ag"],
  "frac_coords": [[0.000, 0.000, 0.000], [0.500, 0.500, 0.500], [0.000, 0.500, 0.250], [0.500, 0.000, 0.750], [0.000, 0.000, 0.500], [0.000, 0.500, 0.750], [0.500, 0.000, 0.250], [0.500, 0.500, 0.000]],
  "space_group": "I-4m2 (119)",
  "relative_energy_mev_per_atom": 166,
  "m_tot_mub_per_atom": 1.699,
  "e_form_mev_per_atom": 422,
  "energy_ev_per_atom": -5.412,
  "density_g_cm3": 8.62
}

[3]
{
  "formula": "ZnNi2Br",
  "functional": "PBE-GGA",
  "state": "relaxed",
  "lattice": [[6.114, 0.000, 0.000], [0.000, 6.114, 0.000], [0.000, 0.000, 6.114]],
  "species": ["Zn", "Zn", "Zn", "Zn", "Ni", "Ni", "Ni", "Ni", "Ni", "Ni", "Ni", "Ni", "Br", "Br", "Br", "Br"],
  "frac_coords": [[0.000, 0.000, 0.000], [0.000, 0.500, 0.500], [0.500, 0.000, 0.500], [0.500, 0.500, 0.000], [0.250, 0.250, 0.250], [0.250, 0.250, 0.750], [0.250, 0.750, 0.250], [0.250, 0.750, 0.750], [0.750, 0.250, 0.250], [0.750, 0.250, 0.750], [0.750, 0.750, 0.250], [0.750, 0.750, 0.750], [0.000, 0.000, 0.500], [0.000, 0.500, 0.000], [0.500, 0.000, 0.000], [0.500, 0.500, 0.500]],
  "space_group": "Fm-3m (225)",
  "relative_energy_mev_per_atom": 339,
  "m_tot_mub_per_atom": 0.036,
  "raw_formation_energy_mev_per_atom": 445,
  "energy_ev_per_atom": -3.183,
  "density_g_cm3": 7.63
}

[4]
{
  "formula": "AcGdZnCu",
  "functional": "PBE-GGA",
  "state": "relaxed",
  "lattice": [[7.437, 0.000, 0.000], [0.000, 7.437, 0.000], [0.000, 0.000, 7.437]],
  "species": ["Ac", "Ac", "Ac", "Ac", "Gd", "Gd", "Gd", "Gd", "Zn", "Zn", "Zn", "Zn", "Cu", "Cu", "Cu", "Cu"],
  "frac_coords": [[0.000, 0.000, 0.000], [0.000, 0.500, 0.500], [0.500, 0.000, 0.500], [0.500, 0.500, 0.000], [0.000, 0.000, 0.500], [0.000, 0.500, 0.000], [0.500, 0.000, 0.000], [0.500, 0.500, 0.500], [0.250, 0.250, 0.250], [0.250, 0.750, 0.750], [0.750, 0.250, 0.750], [0.750, 0.750, 0.250], [0.250, 0.250, 0.750], [0.250, 0.750, 0.250], [0.750, 0.250, 0.250], [0.750, 0.750, 0.750]],
  "space_group": "F-43m (216)",
  "m_tot_mub_per_atom": 1.832,
  "e_form_mev_per_atom": -181,
  "energy_ev_per_atom": -6.071,
  "density_g_cm3": 8.29
}

[5]
{
  "formula": "YAg2Pd2",
  "functional": "PBE-GGA",
  "state": "relaxed",
  "lattice": [[4.185, 0.000, 0.000], [2.091, 4.544, 0.000], [2.083, 0.299, 4.904]],
  "species": ["Y", "Ag", "Ag", "Pd", "Pd"],
  "frac_coords": [[0.000, 0.000, 0.000], [0.194, 0.214, 0.400], [0.806, 0.786, 0.600], [0.405, 0.399, 0.790], [0.595, 0.601, 0.210]],
  "space_group": "P-1 (2)",
  "relative_energy_mev_per_atom": 0,
  "m_tot_mub_per_atom": 0.000,
  "e_form_mev_per_atom": -453,
  "energy_ev_per_atom": -4.963,
  "density_g_cm3": 9.21
}

[6]
{
  "formula": "Ac4PdRh2",
  "functional": "PBE-GGA",
  "state": "relaxed",
  "lattice": [[-4.729, 4.729, 4.655], [4.729, -4.729, 4.655], [4.729, 4.729, -4.655]],
  "species": ["Ac", "Ac", "Ac", "Ac", "Ac", "Ac", "Ac", "Ac", "Pd", "Pd", "Rh", "Rh", "Rh", "Rh"],
  "frac_coords": [[0.016, 0.382, 0.251], [0.131, 0.765, 0.749], [0.132, 0.266, 0.751], [0.235, 0.984, 0.366], [0.515, 0.381, 0.249], [0.618, 0.869, 0.634], [0.619, 0.868, 0.134], [0.734, 0.485, 0.866], [0.000, 0.000, 0.000], [0.750, 0.250, 0.500], [0.244, 0.625, 0.119], [0.375, 0.494, 0.619], [0.506, 0.125, 0.881], [0.875, 0.756, 0.381]],
  "space_group": "I-42d (122)",
  "relative_energy_mev_per_atom": 0,
  "m_tot_mub_per_atom": 0.000,
  "e_form_mev_per_atom": -676,
  "energy_ev_per_atom": -5.866,
  "density_g_cm3": 9.73
}

What is the formula in the third record? ZnNi2Br

What is the formula in the first record? Ca2MgTe

Number 5 is which compound? YAg2Pd2